VASP calculation (PBE) on an optimized crystal structure of RbCdHg2Sb.

Values from the calculation:
Energy above the most stable polymorph in this dataset   148 meV per atom
Raw formation energy   -43 meV per atom

Unit cell a=5.7759 b=5.7759 c=5.6640 alpha=90.00 beta=90.00 gamma=90.00
Closest atoms and distances in Å follow each position.
Space group P4/mmm (No. 123)
Inequivalent atoms, fractional coordinates:
Rb1 0.0000 0.0000 0.0000 [1 per cell]  8 Hg 4.04, 4 Sb 4.08
Cd1 0.5000 0.5000 0.5000 [1 per cell]  2 Sb 2.83, 4 Hg 2.89
Hg1 0.0000 0.5000 0.5000 [2 per cell]  2 Cd 2.89
Sb1 0.5000 0.5000 0.0000 [1 per cell]  2 Cd 2.83

***

VASP calculation (PBE) on an optimized crystal structure of RbCdHg2Sb.

Values from the calculation:
Energy above the most stable polymorph in this dataset   0 meV per atom
Raw formation energy   -191 meV per atom

Unit cell a=4.9422 b=4.9893 c=12.7804 alpha=90.00 beta=90.00 gamma=90.00
Closest atoms and distances in Å follow each position.
Space group Imm2 (No. 44)
Inequivalent atoms, fractional coordinates:
Rb1 0.0000 0.0000 0.0000 [2 per cell]  8 Hg 3.79-4.12, 4 Sb 3.82, 4 Cd 4.05
Cd1 0.0000 0.5000 0.7507 [2 per cell]  2 Sb 2.99, 2 Hg 3.06
Hg1 0.0000 0.0000 0.6125 [2 per cell]  1 Sb 2.94, 2 Hg 2.98, 2 Cd 3.06
Hg2 0.0000 0.5000 0.2424 [2 per cell]  2 Hg 2.98, 2 Sb 3.07
Sb1 0.0000 0.0000 0.3826 [2 per cell]  3 Hg 2.94-3.07, 2 Cd 2.99

***

VASP calculation (PBE) on an optimized crystal structure of Rb2Cd4Hg3Sb.

Values from the calculation:
Raw formation energy   -158 meV per atom

Unit cell a=5.3006 b=5.3006 c=11.3664 alpha=90.00 beta=90.00 gamma=90.00
Closest atoms and distances in Å follow each position.
Space group P-4m2 (No. 115)
Inequivalent atoms, fractional coordinates:
Rb1 0.0000 0.5000 0.2504 [2 per cell]  7 Hg 3.88-4.18, 2 Sb 3.88, 9 Cd 3.89-4.29
Cd1 0.0000 0.0000 0.0000 [1 per cell]  4 Hg 2.97
Cd2 0.0000 0.5000 0.6282 [2 per cell]  3 Hg 2.89-3.02, 2 Sb 3.02
Cd3 0.5000 0.5000 0.0000 [1 per cell]  4 Hg 2.97
Hg1 0.0000 0.5000 0.8822 [2 per cell]  5 Cd 2.89-2.97
Hg2 0.5000 0.5000 0.5000 [1 per cell]  4 Cd 3.02
Sb1 0.0000 0.0000 0.5000 [1 per cell]  4 Cd 3.02

***

VASP calculation (PBE) on an optimized crystal structure of RbCdHg2Sb.

Values from the calculation:
Energy above the most stable polymorph in this dataset   178 meV per atom
Raw formation energy   -12 meV per atom

Unit cell a=5.8641 b=5.8641 c=5.8988 alpha=90.00 beta=90.00 gamma=90.00
Closest atoms and distances in Å follow each position.
Space group P4/mmm (No. 123)
Inequivalent atoms, fractional coordinates:
Rb1 0.0000 0.0000 0.0000 [1 per cell]  4 Cd 4.15, 8 Hg 4.16
Cd1 0.5000 0.5000 0.0000 [1 per cell]  2 Sb 2.95
Hg1 0.0000 0.5000 0.5000 [2 per cell]  2 Sb 2.93
Sb1 0.5000 0.5000 0.5000 [1 per cell]  4 Hg 2.93, 2 Cd 2.95

***

VASP calculation (PBE) on an optimized crystal structure of RbCdHg2Se.

Values from the calculation:
Raw formation energy   -293 meV per atom

Unit cell a=5.7047 b=5.7047 c=5.4948 alpha=90.00 beta=90.00 gamma=90.00
Closest atoms and distances in Å follow each position.
Space group P4/mmm (No. 123)
Inequivalent atoms, fractional coordinates:
Rb1 0.0000 0.0000 0.0000 [1 per cell]  8 Hg 3.96, 4 Se 4.03
Cd1 0.5000 0.5000 0.5000 [1 per cell]  2 Se 2.75, 4 Hg 2.85
Hg1 0.0000 0.5000 0.5000 [2 per cell]  2 Cd 2.85
Se1 0.5000 0.5000 0.0000 [1 per cell]  2 Cd 2.75

***

VASP calculation (PBE) on an optimized crystal structure of Rb2Cd4Sn3Hg.

Values from the calculation:
Energy of formation from the pure elements   -0.133 eV/atom

Unit cell a=5.0621 b=5.0621 c=12.1856 alpha=90.00 beta=90.00 gamma=90.00
Closest atoms and distances in Å follow each position.
Space group P-4m2 (No. 115)
Inequivalent atoms, fractional coordinates:
Rb1 0.0000 0.5000 0.2489 [2 per cell]  8 Cd 3.86-3.95, 6 Sn 3.86-3.97, 2 Hg 3.97
Cd1 0.0000 0.0000 0.0000 [1 per cell]  4 Sn 2.99
Cd2 0.0000 0.5000 0.6330 [2 per cell]  3 Sn 2.88-3.01, 2 Hg 3.01
Cd3 0.5000 0.5000 0.0000 [1 per cell]  4 Sn 2.99
Sn1 0.0000 0.5000 0.8696 [2 per cell]  5 Cd 2.88-2.99
Sn2 0.5000 0.5000 0.5000 [1 per cell]  4 Cd 3.01
Hg1 0.0000 0.0000 0.5000 [1 per cell]  4 Cd 3.01

***

VASP calculation (PBE) on an optimized crystal structure of RbCdSnHg3.

Values from the calculation:
Energy of formation from the pure elements   -0.039 eV/atom

Unit cell a=7.3246 b=13.7209 c=8.3399 alpha=90.00 beta=90.00 gamma=90.00
Closest atoms and distances in Å follow each position.
Space group Cmcm (No. 63)
Inequivalent atoms, fractional coordinates:
Rb1 0.0000 0.2049 0.2500 [4 per cell]  1 Cd 3.60, 6 Hg 3.68-3.88
Cd1 0.0000 0.4676 0.2500 [4 per cell]  5 Hg 2.91-2.92
Sn1 0.0000 0.1024 0.7500 [4 per cell]  5 Hg 2.99-3.02
Hg1 0.0000 0.3203 0.7500 [4 per cell]  1 Cd 2.91, 1 Sn 2.99
Hg2 0.2282 0.0000 0.0000 [8 per cell]  2 Cd 2.92, 2 Sn 3.02

***

VASP calculation (PBE) on an optimized crystal structure of RbCdSnHg2.

Values from the calculation:
Energy above the most stable polymorph in this dataset   52 meV per atom
Energy of formation from the pure elements   0.047 eV/atom

Unit cell a=5.7895 b=5.7895 c=5.5842 alpha=90.00 beta=90.00 gamma=90.00
Closest atoms and distances in Å follow each position.
Space group P4/mmm (No. 123)
Inequivalent atoms, fractional coordinates:
Rb1 0.0000 0.0000 0.0000 [1 per cell]  8 Hg 4.02, 4 Sn 4.09
Cd1 0.5000 0.5000 0.5000 [1 per cell]  2 Sn 2.79, 4 Hg 2.89
Sn1 0.5000 0.5000 0.0000 [1 per cell]  2 Cd 2.79
Hg1 0.0000 0.5000 0.5000 [2 per cell]  2 Cd 2.89

***

VASP calculation (PBE) on an optimized crystal structure of Rb2Cd4SnHg3.

Values from the calculation:
Energy of formation from the pure elements   -0.130 eV/atom

Unit cell a=5.2252 b=5.2252 c=11.6792 alpha=90.00 beta=90.00 gamma=90.00
Closest atoms and distances in Å follow each position.
Space group P-4m2 (No. 115)
Inequivalent atoms, fractional coordinates:
Rb1 0.0000 0.5000 0.2482 [2 per cell]  2 Sn 3.90, 6 Hg 3.90-3.97, 9 Cd 3.93-4.34
Cd1 0.0000 0.0000 0.5000 [1 per cell]  4 Hg 3.00
Cd2 0.0000 0.5000 0.8766 [2 per cell]  3 Hg 2.91-2.98, 2 Sn 2.98
Cd3 0.5000 0.5000 0.5000 [1 per cell]  4 Hg 3.00
Sn1 0.5000 0.5000 0.0000 [1 per cell]  4 Cd 2.98
Hg1 0.0000 0.0000 0.0000 [1 per cell]  4 Cd 2.98
Hg2 0.0000 0.5000 0.6270 [2 per cell]  5 Cd 2.91-3.00

***

VASP calculation (PBE) on an optimized crystal structure of Rb2CdSn4Hg3.

Values from the calculation:
Energy of formation from the pure elements   -0.141 eV/atom

Unit cell a=5.0004 b=5.0004 c=12.5167 alpha=90.00 beta=90.00 gamma=90.00
Closest atoms and distances in Å follow each position.
Space group P-4m2 (No. 115)
Inequivalent atoms, fractional coordinates:
Rb1 0.0000 0.5000 0.2474 [2 per cell]  6 Hg 3.80-3.98, 8 Sn 3.83-4.03, 2 Cd 3.98
Cd1 0.5000 0.5000 0.0000 [1 per cell]  4 Sn 2.98
Sn1 0.0000 0.0000 0.5000 [1 per cell]  4 Hg 3.06
Sn2 0.0000 0.5000 0.8700 [2 per cell]  3 Hg 2.87-2.98, 2 Cd 2.98
Sn3 0.5000 0.5000 0.5000 [1 per cell]  4 Hg 3.06
Hg1 0.0000 0.0000 0.0000 [1 per cell]  4 Sn 2.98
Hg2 0.0000 0.5000 0.6405 [2 per cell]  5 Sn 2.87-3.06

***

VASP calculation (PBE) on an optimized crystal structure of RbCdSnHg2.

Values from the calculation:
Energy above the most stable polymorph in this dataset   0 meV per atom
Energy of formation from the pure elements   -0.005 eV/atom

Unit cell a=6.0074 b=6.0074 c=5.5557 alpha=90.00 beta=90.00 gamma=90.00
Closest atoms and distances in Å follow each position.
Space group P4/mmm (No. 123)
Inequivalent atoms, fractional coordinates:
Rb1 0.0000 0.0000 0.0000 [1 per cell]  8 Hg 4.09, 4 Cd 4.25
Cd1 0.5000 0.5000 0.0000 [1 per cell]  2 Sn 2.78
Sn1 0.5000 0.5000 0.5000 [1 per cell]  2 Cd 2.78, 4 Hg 3.00
Hg1 0.0000 0.5000 0.5000 [2 per cell]  2 Sn 3.00

***

VASP calculation (PBE) on an optimized crystal structure of Rb2CdSnHg6.

Values from the calculation:
Energy of formation from the pure elements   -0.123 eV/atom

Unit cell a=6.3983 b=7.9787 c=8.0323 alpha=86.18 beta=68.02 gamma=67.54
Closest atoms and distances in Å follow each position.
Space group P-1 (No. 2)
Inequivalent atoms, fractional coordinates:
Rb1 0.0458 0.2120 0.2110 [2 per cell]  7 Hg 3.65-3.91
Cd1 0.5000 0.5000 0.0000 [1 per cell]  6 Hg 2.89-3.10
Sn1 0.5000 0.0000 0.5000 [1 per cell]  6 Hg 2.97-3.13
Hg1 0.0080 0.7386 0.2579 [2 per cell]  1 Cd 2.98, 1 Sn 3.05, 3 Hg 3.17-3.28
Hg2 0.3791 0.4018 0.3959 [2 per cell]  1 Cd 3.10, 1 Sn 3.13, 5 Hg 3.28-3.43
Hg3 0.4948 0.2427 0.7671 [2 per cell]  1 Cd 2.89, 1 Sn 2.97, 1 Hg 3.17

***

Q: What is the formula in the twelfth record?
A: Rb2CdSnHg6